Density functional theory data (PBE) for SrNbCu after structural relaxation.

Lattice parameters (Å, degrees): 9.5030 3.4464 9.1760 90.00 90.00 90.00
Closest atoms and distances in Å follow each position.
Space group Pnma (No. 62)
One atom of each set of equivalent atoms:
Sr (0.1770, 0.2500, 0.0801) [4 per cell]  5 Cu 3.14-3.48, 3 Nb 3.23-3.50, 2 Sr 3.45
Nb (0.0494, 0.2500, 0.4062) [4 per cell]  2 Nb 2.61, 2 Cu 2.62
Cu (0.0954, 0.2500, 0.7486) [4 per cell]  2 Nb 2.62

Properties
Magnetization in μB per formula unit: 0.000
Total DFT energy (no corrections) in eV/f.u.: -14.4
Fermi-level density of states in states/eV per cell: 3.2
Calculated volume in Å³/atom: 25.044